The following is a DFT calculation (GGA-PBE) of Er6AlPb after structural relaxation.

Electronic total energy = -0.33705 Ry/atom
ΔE_f = -0.2323 eV/atom

Cell lengths 4.7627, 4.7627, 9.5158 Å; angles 90.00, 90.00, 90.00 degrees
Atoms (fractional coordinates):
Er (0.0000, 0.0000, 0.0000)
Er (0.0000, 0.0000, 0.5000)
Er (0.0000, 0.5000, 0.2417)
Er (0.0000, 0.5000, 0.7583)
Er (0.5000, 0.0000, 0.2417)
Er (0.5000, 0.0000, 0.7583)
Al (0.5000, 0.5000, 0.0000)
Pb (0.5000, 0.5000, 0.5000)